# Pr3Th2Sn3 (GGA-PBE, optimized geometry)
# ΔH_f (0 K) in meV/atom: -608
# Crystal system: hexagonal
# VASP energy in eV per atom: -5.756
data_Pr3Th2Sn3
_cell_length_a 9.4860
_cell_length_b 9.4860
_cell_length_c 6.5896
_cell_angle_alpha 90.00
_cell_angle_beta 90.00
_cell_angle_gamma 120.00
_symmetry_space_group_name_H-M 'P 63/m c m'
_symmetry_Int_Tables_number 193
_symmetry_space_group_name_Hall '-P 6c 2'
loop_
_atom_site_label
_atom_site_fract_x
_atom_site_fract_y
_atom_site_fract_z
Pr1 0.0000 0.2539 0.2500
Th1 0.3333 0.6667 0.0000
Sn1 0.0000 0.3868 0.7500